The following is a PBE-GGA calculation of an optimized crystal structure of La2Ce3PmSb6, from Alexandria via LeMat-Bulk.

## Properties
* formation energy from raw total energies: -1.145 eV per atom
* calculated density: 6.57 g cm⁻³
* total magnetization: 0.20 μB per atom
* calculated volume: 397.9 Å³/cell
* E: -5.91 eV per atom

Cell lengths 7.867, 7.867, 7.874 Å; angles 99.59, 99.59, 120.00 degrees
Fractional positions:
La 0.166 0.834 0.000
La 0.834 0.166 0.000
Ce 0.000 0.000 0.500
Ce 0.332 0.668 0.500
Ce 0.668 0.332 0.500
Pm 0.500 0.500 0.000
Sb 0.085 0.415 0.745
Sb 0.256 0.256 0.257
Sb 0.415 0.085 0.745
Sb 0.585 0.915 0.255
Sb 0.744 0.744 0.743
Sb 0.915 0.585 0.255